Entry from the Alexandria database: crystalline Nd2ScTe at its relaxed geometry (PBE).

Values from the calculation:
Its relative energy among the computed polymorphs is 13.1 kJ/mol of atoms. The space group is No. 2. The calculation puts the uncorrected formation energy at -1.7 eV/f.u. The total energy is -5.181 eV per atom.

a = 3.8837 Å, b = 7.4336 Å, c = 11.4084 Å
α = 124.28°, β = 99.72°, γ = 89.98°
Sites, in units of the cell vectors:
Nd 0.0887 0.9280 0.7918
Nd 0.8638 0.9032 0.3390
Nd 0.3717 0.4095 0.3499
Nd 0.5961 0.4343 0.8027
Sc 0.2293 0.8758 0.0709
Sc 0.2299 0.4615 0.0708
Te 0.4786 0.9185 0.5698
Te 0.9816 0.4190 0.5719



Entry from the Alexandria database: crystalline Nd3ScTe6 at its relaxed geometry (PBE).

Values from the calculation:
The space group is No. 148. The calculation puts the uncorrected formation energy at -13.4 eV/f.u. The total energy is -5.287 eV per atom.

a = 9.0888 Å, b = 9.0888 Å, c = 9.0888 Å
α = 90.53°, β = 90.53°, γ = 90.53°
Sites, in units of the cell vectors:
Nd 0.4251 0.9183 0.7565
Nd 0.9183 0.7565 0.4251
Nd 0.2435 0.5749 0.0817
Nd 0.7565 0.4251 0.9183
Nd 0.0817 0.2435 0.5749
Nd 0.5749 0.0817 0.2435
Sc 0.0000 0.0000 0.0000
Sc 0.5000 0.5000 0.5000
Te 0.3024 0.9210 0.0886
Te 0.0790 0.9114 0.6976
Te 0.5797 0.8078 0.4560
Te 0.9114 0.6976 0.0790
Te 0.4560 0.5797 0.8078
Te 0.1922 0.5440 0.4203
Te 0.8078 0.4560 0.5797
Te 0.5440 0.4203 0.1922
Te 0.0886 0.3024 0.9210
Te 0.4203 0.1922 0.5440
Te 0.9210 0.0886 0.3024
Te 0.6976 0.0790 0.9114



Entry from the Alexandria database: crystalline NdScTe2 at its relaxed geometry (PBE).

Values from the calculation:
Its relative energy among the computed polymorphs is 0.0 kJ/mol of atoms. The space group is No. 160. The calculation puts the uncorrected formation energy at -5.2 eV/f.u. The total energy is -5.638 eV per atom.

a = 4.2174 Å, b = 4.2174 Å, c = 7.8591 Å
α = 74.44°, β = 74.44°, γ = 60.00°
Sites, in units of the cell vectors:
Nd 0.4971 0.4971 0.5087
Sc 0.6705 0.6705 0.9885
Te 0.0741 0.0741 0.7777
Te 0.2583 0.2583 0.2251



Entry from the Alexandria database: crystalline NdSc2Te4 at its relaxed geometry (PBE).

Values from the calculation:
Its relative energy among the computed polymorphs is 0.0 kJ/mol of atoms. The space group is No. 62. The calculation puts the uncorrected formation energy at -9.1 eV/f.u. The total energy is -5.582 eV per atom.

a = 4.1669 Å, b = 13.1768 Å, c = 15.1464 Å
α = 90.00°, β = 90.00°, γ = 90.00°
Sites, in units of the cell vectors:
Nd 0.2500 0.7575 0.3233
Nd 0.7500 0.2425 0.6767
Nd 0.2500 0.2575 0.1767
Nd 0.7500 0.7425 0.8233
Sc 0.7500 0.0494 0.8859
Sc 0.2500 0.9506 0.1141
Sc 0.7500 0.5494 0.6141
Sc 0.2500 0.4506 0.3859
Sc 0.2500 0.4067 0.9122
Sc 0.7500 0.5933 0.0878
Sc 0.2500 0.9067 0.5878
Sc 0.7500 0.0933 0.4122
Te 0.7500 0.1019 0.0729
Te 0.2500 0.8981 0.9271
Te 0.7500 0.6019 0.4271
Te 0.2500 0.3981 0.5729
Te 0.7500 0.9598 0.7126
Te 0.2500 0.0402 0.2874
Te 0.7500 0.4598 0.7874
Te 0.2500 0.5402 0.2126
Te 0.7500 0.3748 0.0448
Te 0.2500 0.6252 0.9552
Te 0.7500 0.8748 0.4552
Te 0.2500 0.1252 0.5448
Te 0.2500 0.1989 0.8368
Te 0.7500 0.8011 0.1632
Te 0.2500 0.6989 0.6632
Te 0.7500 0.3011 0.3368



Which value of uncorrected formation energy does entry 4 give?
-9.1 eV/f.u.